Compound: Tb3GdPb2N2
Source: the Open Quantum Materials Database
Functional: GGA-PBE
Structure: optimized geometry

Properties
Total DFT energy (no corrections), eV/f.u.: -51.29
Spin magnetization, μB per atom: 0.000

abc: 3.570 3.570 15.755
angles: 90.00 90.00 120.00
Fractional positions:
1 Tb 0.000 0.000 0.000
2 Tb 0.000 0.000 0.333
3 Tb 0.333 0.667 0.500
4 Gd 0.333 0.667 0.833
5 Pb 0.000 0.000 0.666
6 Pb 0.333 0.667 0.167
7 N 0.667 0.333 0.416
8 N 0.667 0.333 0.918

---

Compound: LaHoIn
Source: the Open Quantum Materials Database
Functional: GGA-PBE
Structure: optimized geometry

Properties
Total DFT energy (no corrections), eV/f.u.: -12.56
Spin magnetization, μB per atom: 0.253

abc: 5.299 5.299 5.299
angles: 60.00 60.00 60.00
Fractional positions:
1 La 0.000 0.000 0.000
2 Ho 0.500 0.500 0.500
3 In 0.750 0.750 0.750

---

Q: The lowest spin magnetization belongs to which entry?
A: Tb3GdPb2N2

---

Q: Among the records above, which one has the lowest total DFT energy (no corrections)?
A: Tb3GdPb2N2